AcNd8Er4: optimized geometry, PBE.

Structure (POSCAR):
```
AcNd8Er4
1.0
3.681 2.125 9.795
-3.681 2.125 9.795
0.000 -4.250 9.795
Ac Nd Er
1 8 4
Cartesian
0.000 0.000 0.000
0.000 -1.896 11.925
-1.642 0.948 11.925
0.000 0.000 8.441
-1.642 -0.948 17.459
1.642 0.948 11.925
0.000 0.000 20.942
1.642 -0.948 17.459
0.000 1.896 17.459
-3.681 0.000 14.692
-1.840 1.062 4.897
1.840 1.062 4.897
0.000 0.000 14.692
```

Values from the calculation:
Symmetry ... R-3m, No. 166
Energy ... -4.418 eV per atom
Energy of formation ... 0.24 eV/atom
D(E_F) ... 13.47 states/eV/cell